No. 1
Here is an optimized crystal structure of Hg3RhO6 from Alexandria via LeMat-Bulk. Energies are from PBE.

Lattice parameters (Å, degrees): 9.3266 9.3266 11.7065 90.00 90.00 120.00
Closest atoms and distances in Å follow each position.
Space group R-3 (No. 148, hexagonal axes)
Symmetry-distinct sites (fractional):
Hg (0.0348, 0.7791, 0.2159)  5 O 2.30-2.39
Rh (0.0000, 0.0000, 0.0000)  6 O 2.00
Rh (0.0000, 0.0000, 0.5000)  6 O 1.96
O (0.0194, 0.8436, 0.8929)  1 Rh 2.00
O (0.0361, 0.8449, 0.4093)  1 Rh 1.96

Properties
The density of states at the Fermi level comes out at 0.9342 states/eV per atom. The energy relative to the elements, uncorrected comes out at -222 meV/atom. The value obtained for the energy is -4.02 eV per atom.

---

No. 2
Here is an optimized crystal structure of HgRhO3 from Alexandria via LeMat-Bulk. Energies are from PBE.

Lattice parameters (Å, degrees): 4.1258 4.1258 4.1258 90.00 90.00 90.00
Closest atoms and distances in Å follow each position.
Space group Pm-3m (No. 221)
Symmetry-distinct sites (fractional):
Hg (0.0000, 0.0000, 0.0000)  6 O 2.06
Rh (0.5000, 0.5000, 0.5000)  12 O 2.92
O (0.0000, 0.0000, 0.5000)  2 Hg 2.06

Properties
The density of states at the Fermi level comes out at 1.1568 states/eV per atom. The energy relative to the elements, uncorrected comes out at 969 meV/atom. The value obtained for the energy is -3.54 eV per atom.

---

No. 3
Here is an optimized crystal structure of HgRh3O from Alexandria via LeMat-Bulk. Energies are from PBE.

Lattice parameters (Å, degrees): 4.1855 4.1855 4.1855 90.00 90.00 90.00
Closest atoms and distances in Å follow each position.
Space group Pm-3m (No. 221)
Symmetry-distinct sites (fractional):
Hg (0.0000, 0.0000, 0.0000)  12 Rh 2.96
Rh (0.0000, 0.5000, 0.5000)  2 O 2.09
O (0.5000, 0.5000, 0.5000)  6 Rh 2.09

Properties
The density of states at the Fermi level comes out at 1.2963 states/eV per atom. As for the excess energy over the best structure of this formula in the dataset: 0.0 meV/atom. The energy relative to the elements, uncorrected comes out at 158 meV/atom. The value obtained for the energy is -5.31 eV per atom.